[1]
{"formula": "Na8Cd2Ge", "functional": "GGA-PBE", "state": "optimized geometry", "delta_e_f_ev_per_atom": -0.02, "n_ef_per_ev_atom": 0.420, "sg": "No. 1", "final_energy_ev_per_cell": -17.21, "crystal_system": "triclinic", "lattice_angstrom": [[5.264, 0.000, 0.000], [0.001, 7.951, 0.000], [2.618, 3.975, 7.754]], "species": ["Na", "Na", "Na", "Na", "Na", "Na", "Na", "Na", "Cd", "Cd", "Ge"], "frac_coords": [[0.000, 0.000, 0.000], [0.045, 0.536, 0.909], [0.244, 0.063, 0.512], [0.349, 0.830, 0.302], [0.454, 0.273, 0.092], [0.652, 0.142, 0.695], [0.697, 0.698, 0.604], [0.848, 0.486, 0.302], [0.192, 0.409, 0.614], [0.505, 0.721, 0.990], [0.849, 0.097, 0.303]]}

***

[2]
{"formula": "Na12Cd3Ge", "functional": "GGA-PBE", "state": "optimized geometry", "delta_e_f_ev_per_atom": -0.02, "n_ef_per_ev_atom": 0.352, "sg": "No. 123", "final_energy_ev_per_cell": -23.50, "crystal_system": "tetragonal", "lattice_angstrom": [[4.858, 0.000, 0.000], [0.000, 4.858, 0.000], [0.000, 0.000, 19.517]], "species": ["Na", "Na", "Na", "Na", "Na", "Na", "Na", "Na", "Na", "Na", "Na", "Na", "Cd", "Cd", "Cd", "Ge"], "frac_coords": [[0.000, 0.000, 0.000], [0.000, 0.000, 0.244], [0.000, 0.000, 0.500], [0.000, 0.000, 0.756], [0.000, 0.500, 0.112], [0.000, 0.500, 0.373], [0.000, 0.500, 0.627], [0.000, 0.500, 0.888], [0.500, 0.000, 0.112], [0.500, 0.000, 0.373], [0.500, 0.000, 0.627], [0.500, 0.000, 0.888], [0.500, 0.500, 0.241], [0.500, 0.500, 0.500], [0.500, 0.500, 0.759], [0.500, 0.500, 0.000]]}

***

[3]
{"formula": "Na3Cd5Ge2", "functional": "GGA-PBE", "state": "optimized geometry", "delta_e_f_ev_per_atom": -0.06, "n_ef_per_ev_atom": 0.260, "sg": "No. 15", "final_energy_ev_per_cell": -36.64, "crystal_system": "monoclinic", "lattice_angstrom": [[5.935, -6.635, 0.000], [5.935, 6.635, 0.000], [-1.566, 0.000, 6.151]], "species": ["Na", "Na", "Na", "Na", "Na", "Na", "Cd", "Cd", "Cd", "Cd", "Cd", "Cd", "Cd", "Cd", "Cd", "Cd", "Ge", "Ge", "Ge", "Ge"], "frac_coords": [[0.036, 0.964, 0.750], [0.157, 0.634, 0.953], [0.366, 0.843, 0.547], [0.634, 0.157, 0.453], [0.843, 0.366, 0.047], [0.964, 0.036, 0.250], [0.179, 0.495, 0.434], [0.203, 0.288, 0.026], [0.288, 0.203, 0.526], [0.493, 0.507, 0.750], [0.495, 0.179, 0.934], [0.505, 0.821, 0.066], [0.507, 0.493, 0.250], [0.712, 0.797, 0.474], [0.797, 0.712, 0.974], [0.821, 0.505, 0.566], [0.004, 0.288, 0.643], [0.288, 0.004, 0.143], [0.712, 0.996, 0.857], [0.996, 0.712, 0.357]]}